## CaNd5Se6 (PBE)

Data for an optimized crystal structure of CaNd5Se6.

The structure belongs to space group C2/m (No. 12); the cell edges are 7.3025, 12.6975 and 7.3182 Å and the angles 90.00°, 109.47° and 90.00°. Symmetry generates all atoms from Ca at (0.0000, 0.0000, 0.0000), Nd at (0.0000, 0.1686, 0.5000), Nd at (0.0000, 0.3327, 0.0000), Nd at (0.0000, 0.5000, 0.5000), Se at (0.2447, 0.0000, 0.7538) and Se at (0.2459, 0.1635, 0.2470).

For the formation energy without anion corrections, the calculation gives -1.86 eV/atom.


## Tb2SiHg (PBE)

Data for an optimized crystal structure of Tb2SiHg.

The structure belongs to space group P4/mmm (No. 123); the cell edges are 3.6902, 3.6902 and 7.0630 Å and the angles 90.00°, 90.00° and 90.00°. Symmetry generates all atoms from Tb at (0.0000, 0.0000, 0.2293), Si at (0.5000, 0.5000, 0.0000) and Hg at (0.5000, 0.5000, 0.5000).

For the formation energy without anion corrections, the calculation gives -0.49 eV/atom.